Run w
# PBE-GGA RbWS3, relaxed
data_RbWS3
_chemical_formula_sum 'Rb4 W4 S12'
_cell_length_a 12.073
_cell_length_b 4.687
_cell_length_c 9.607
_cell_angle_alpha 90.00
_cell_angle_beta 101.41
_cell_angle_gamma 90.00
_space_group_name_H-M_alt 'C 1 2/m 1'
_space_group_IT_number 12
loop_
_space_group_symop_operation_xyz
'x,y,z'
'-x,-y,-z'
'-x,y,-z'
'x,-y,z'
'x+1/2,y+1/2,z'
'-x+1/2,-y+1/2,-z'
'-x+1/2,y+1/2,-z'
'x+1/2,-y+1/2,z'
loop_
_atom_site_label
_atom_site_fract_x
_atom_site_fract_y
_atom_site_fract_z
Rb1 0.101 0.000 0.372
W1 0.128 0.500 0.902
S1 0.071 0.500 0.139
S2 0.128 0.500 0.667
S3 0.177 0.000 0.958
# N(E_F), states/eV per atom: 0.573
# Size of the total moment, μB/cell: 0.000
# V, Å³/f.u.: 133.2


Run x
# PBE-GGA RbWS3, relaxed
data_RbWS3
_chemical_formula_sum 'Rb1 W1 S3'
_cell_length_a 5.176
_cell_length_b 5.176
_cell_length_c 5.176
_cell_angle_alpha 90.00
_cell_angle_beta 90.00
_cell_angle_gamma 90.00
_space_group_name_H-M_alt 'P m -3 m'
_space_group_IT_number 221
_space_group_name_Hall '-P 4 2 3'
loop_
_atom_site_label
_atom_site_fract_x
_atom_site_fract_y
_atom_site_fract_z
Rb1 0.000 0.000 0.000
W1 0.500 0.500 0.500
S1 0.000 0.000 0.500
# N(E_F), states/eV per atom: 1.650
# Size of the total moment, μB/cell: 0.513
# V, Å³/f.u.: 138.6


Need the numbers? Relative energies in eV/atom: run w 0.000; run x 3.193.


Run w
# PBE-GGA RbWS3, relaxed
data_RbWS3
_chemical_formula_sum 'Rb2 W2 S6'
_cell_length_a 6.272
_cell_length_b 6.865
_cell_length_c 7.352
_cell_angle_alpha 69.79
_cell_angle_beta 89.89
_cell_angle_gamma 86.55
_space_group_name_H-M_alt 'P -1'
_space_group_IT_number 2
loop_
_space_group_symop_operation_xyz
'x,y,z'
'-x,-y,-z'
loop_
_atom_site_label
_atom_site_fract_x
_atom_site_fract_y
_atom_site_fract_z
Rb1 0.213 0.194 0.173
W1 0.287 0.573 0.531
S1 0.001 0.364 0.706
S2 0.282 0.834 0.635
S3 0.490 0.686 0.249
# N(E_F), states/eV per atom: 0.000
# Size of the total moment, μB/cell: 0.000
# V, Å³/f.u.: 148.2


Run x
# PBE-GGA RbWS3, relaxed
data_RbWS3
_chemical_formula_sum 'Rb1 W1 S3'
_cell_length_a 4.790
_cell_length_b 4.790
_cell_length_c 4.790
_cell_angle_alpha 90.00
_cell_angle_beta 90.00
_cell_angle_gamma 90.00
_space_group_name_H-M_alt 'P m -3 m'
_space_group_IT_number 221
_space_group_name_Hall '-P 4 2 3'
loop_
_atom_site_label
_atom_site_fract_x
_atom_site_fract_y
_atom_site_fract_z
Rb1 0.000 0.000 0.000
W1 0.500 0.500 0.500
S1 0.000 0.500 0.500
# N(E_F), states/eV per atom: 0.279
# Size of the total moment, μB/cell: 0.000
# V, Å³/f.u.: 109.9


Need the numbers? Relative energies in eV/atom: run w 0.000; run x 0.286.


Run w
# PBE-GGA RbY3S, relaxed
data_RbY3S
_chemical_formula_sum 'Rb1 Y3 S1'
_cell_length_a 5.501
_cell_length_b 5.501
_cell_length_c 5.501
_cell_angle_alpha 90.00
_cell_angle_beta 90.00
_cell_angle_gamma 90.00
_space_group_name_H-M_alt 'P m -3 m'
_space_group_IT_number 221
_space_group_name_Hall '-P 4 2 3'
loop_
_atom_site_label
_atom_site_fract_x
_atom_site_fract_y
_atom_site_fract_z
Rb1 0.000 0.000 0.000
Y1 0.000 0.000 0.500
S1 0.500 0.500 0.500
# N(E_F), states/eV per atom: 1.229
# Size of the total moment, μB/cell: 0.000
# V, Å³/f.u.: 166.4


Run x
# PBE-GGA RbY3S, relaxed
data_RbY3S
_chemical_formula_sum 'Rb1 Y3 S1'
_cell_length_a 5.504
_cell_length_b 5.504
_cell_length_c 5.504
_cell_angle_alpha 90.00
_cell_angle_beta 90.00
_cell_angle_gamma 90.00
_space_group_name_H-M_alt 'P m -3 m'
_space_group_IT_number 221
_space_group_name_Hall '-P 4 2 3'
loop_
_atom_site_label
_atom_site_fract_x
_atom_site_fract_y
_atom_site_fract_z
Rb1 0.000 0.000 0.000
Y1 0.000 0.500 0.500
S1 0.500 0.500 0.500
# N(E_F), states/eV per atom: 1.484
# Size of the total moment, μB/cell: 2.535
# V, Å³/f.u.: 166.7


Need the numbers? Relative energies in eV/atom: run w 1.699; run x 0.000.


Run w
# PBE-GGA Rb3YS, relaxed
data_Rb3YS
_chemical_formula_sum 'Rb3 Y1 S1'
_cell_length_a 6.490
_cell_length_b 6.490
_cell_length_c 6.490
_cell_angle_alpha 90.00
_cell_angle_beta 90.00
_cell_angle_gamma 90.00
_space_group_name_H-M_alt 'P m -3 m'
_space_group_IT_number 221
_space_group_name_Hall '-P 4 2 3'
loop_
_atom_site_label
_atom_site_fract_x
_atom_site_fract_y
_atom_site_fract_z
Rb1 0.000 0.000 0.500
Y1 0.500 0.500 0.500
S1 0.000 0.000 0.000
# N(E_F), states/eV per atom: 1.346
# Size of the total moment, μB/cell: 1.972
# V, Å³/f.u.: 273.4


Run x
# PBE-GGA Rb3YS, relaxed
data_Rb3YS
_chemical_formula_sum 'Rb3 Y1 S1'
_cell_length_a 6.944
_cell_length_b 6.944
_cell_length_c 6.944
_cell_angle_alpha 90.00
_cell_angle_beta 90.00
_cell_angle_gamma 90.00
_space_group_name_H-M_alt 'P m -3 m'
_space_group_IT_number 221
_space_group_name_Hall '-P 4 2 3'
loop_
_atom_site_label
_atom_site_fract_x
_atom_site_fract_y
_atom_site_fract_z
Rb1 0.000 0.000 0.500
Y1 0.000 0.000 0.000
S1 0.500 0.500 0.500
# N(E_F), states/eV per atom: 2.580
# Size of the total moment, μB/cell: 2.000
# V, Å³/f.u.: 334.9


Need the numbers? Relative energies in eV/atom: run w 0.000; run x 0.828.


Run w
# PBE-GGA RbZrS3, relaxed
data_RbZrS3
_chemical_formula_sum 'Rb1 Zr1 S3'
_cell_length_a 5.175
_cell_length_b 5.175
_cell_length_c 5.175
_cell_angle_alpha 90.00
_cell_angle_beta 90.00
_cell_angle_gamma 90.00
_space_group_name_H-M_alt 'P m -3 m'
_space_group_IT_number 221
_space_group_name_Hall '-P 4 2 3'
loop_
_atom_site_label
_atom_site_fract_x
_atom_site_fract_y
_atom_site_fract_z
Rb1 0.000 0.000 0.000
Zr1 0.500 0.500 0.500
S1 0.000 0.000 0.500
# N(E_F), states/eV per atom: 1.823
# Size of the total moment, μB/cell: 0.001
# V, Å³/f.u.: 138.6


Run x
# PBE-GGA RbZrS3, relaxed
data_RbZrS3
_chemical_formula_sum 'Rb6 Zr6 S18'
_cell_length_a 6.7670
_cell_length_b 6.7670
_cell_length_c 22.4329
_cell_angle_alpha 90.00
_cell_angle_beta 90.00
_cell_angle_gamma 120.00
_space_group_name_H-M_alt 'R -3 m'
_space_group_IT_number 166
_space_group_name_Hall '-R 3 2"'
loop_
_atom_site_label
_atom_site_fract_x
_atom_site_fract_y
_atom_site_fract_z
Rb1 0.0000 0.0000 0.1290
Zr1 0.0000 0.0000 0.3349
S1 0.0029 0.5015 0.9259
# N(E_F), states/eV per atom: 1.063
# Size of the total moment, μB/cell: 0.000
# V, Å³/f.u.: 148.3


Need the numbers? Relative energies in eV/atom: run w 2.372; run x 0.000.


Run w
# PBE-GGA RbZr4S8, relaxed
data_RbZr4S8
_chemical_formula_sum 'Rb3 Zr12 S24'
_cell_length_a 7.3340
_cell_length_b 7.3340
_cell_length_c 25.0245
_cell_angle_alpha 90.00
_cell_angle_beta 90.00
_cell_angle_gamma 120.00
_space_group_name_H-M_alt 'R -3 m'
_space_group_IT_number 166
_space_group_name_Hall '-R 3 2"'
loop_
_atom_site_label
_atom_site_fract_x
_atom_site_fract_y
_atom_site_fract_z
Rb1 0.0000 0.0000 0.0000
Zr1 0.0000 0.0000 0.5000
Zr2 0.0000 0.5000 0.5000
S1 0.0000 0.0000 0.2260
S2 0.0011 0.5005 0.2265
# N(E_F), states/eV per atom: 0.290
# Size of the total moment, μB/cell: 0.000
# V, Å³/f.u.: 388.6


Run x
# PBE-GGA RbZr4S8, relaxed
data_RbZr4S8
_chemical_formula_sum 'Rb4 Zr16 S32'
_cell_length_a 11.129
_cell_length_b 11.129
_cell_length_c 11.129
_cell_angle_alpha 90.00
_cell_angle_beta 90.00
_cell_angle_gamma 90.00
_space_group_name_H-M_alt 'F -4 3 m'
_space_group_IT_number 216
_space_group_name_Hall 'F -4 2 3'
loop_
_atom_site_label
_atom_site_fract_x
_atom_site_fract_y
_atom_site_fract_z
Rb1 0.000 0.000 0.000
Zr1 0.122 0.122 0.378
S1 0.114 0.114 0.614
S2 0.147 0.147 0.147
# N(E_F), states/eV per atom: 0.248
# Size of the total moment, μB/cell: 0.000
# V, Å³/f.u.: 344.6


Need the numbers? Relative energies in eV/atom: run w 0.000; run x 0.194.